Record 1
# Ni2IrCl (PBE, optimized geometry)
# * density of states at the Fermi level: 11.54 states/eV/cell
# * electronic total energy: -19.02 eV/f.u.
# * total magnetization: 5.3 μB/cell
# * uncorrected formation energy: 0.8125 eV per atom
# * polymorph energy (0 for the lowest one): 0.6230 eV per atom
# * calculated volume: 108.7 Å³ per cell
data_Ni2IrCl
_chemical_formula_sum 'Ni4 Ir2 Cl2'
_symmetry_space_group_name_H-M 'I -4 m 2'
_symmetry_Int_Tables_number 119
_symmetry_space_group_name_Hall 'I -4 -2'
_cell_length_a 3.982
_cell_length_b 3.982
_cell_length_c 6.856
_cell_angle_alpha 90.00
_cell_angle_beta 90.00
_cell_angle_gamma 90.00
loop_
_atom_site_label
_atom_site_type_symbol
_atom_site_fract_x
_atom_site_fract_y
_atom_site_fract_z
Ni1 Ni 0.000 0.000 0.000
Ni2 Ni 0.000 0.500 0.250
Ir1 Ir 0.000 0.000 0.500
Cl1 Cl 0.000 0.500 0.750

Record 2
# NiIr2Cl (PBE, optimized geometry)
# * density of states at the Fermi level: 13.76 states/eV/cell
# * electronic total energy: -23.95 eV/f.u.
# * total magnetization: 0.0 μB/cell
# * uncorrected formation energy: 0.3500 eV per atom
# * polymorph energy (0 for the lowest one): 0.0560 eV per atom
# * calculated volume: 171.3 Å³ per cell
data_NiIr2Cl
_chemical_formula_sum 'Ni3 Ir6 Cl3'
_symmetry_space_group_name_H-M 'R 3 m'
_symmetry_Int_Tables_number 160
_symmetry_space_group_name_Hall 'R 3 -2"'
_cell_length_a 2.8453
_cell_length_b 2.8453
_cell_length_c 24.4335
_cell_angle_alpha 90.00
_cell_angle_beta 90.00
_cell_angle_gamma 120.00
loop_
_atom_site_label
_atom_site_type_symbol
_atom_site_fract_x
_atom_site_fract_y
_atom_site_fract_z
Ni1 Ni 0.0000 0.0000 0.0000
Ir1 Ir 0.0000 0.0000 0.2522
Ir2 Ir 0.0000 0.0000 0.4990
Cl1 Cl 0.0000 0.0000 0.7353

Record 3
# Ni2IrCl (PBE, optimized geometry)
# * density of states at the Fermi level: 5.77 states/eV/cell
# * electronic total energy: -21.51 eV/f.u.
# * total magnetization: 0.0 μB/cell
# * uncorrected formation energy: 0.1895 eV per atom
# * polymorph energy (0 for the lowest one): 0.0000 eV per atom
# * calculated volume: 56.4 Å³ per cell
data_Ni2IrCl
_chemical_formula_sum 'Ni2 Ir1 Cl1'
_symmetry_space_group_name_H-M 'P 1 2/m 1'
_symmetry_Int_Tables_number 10
_cell_length_a 2.836
_cell_length_b 2.823
_cell_length_c 7.047
_cell_angle_alpha 90.00
_cell_angle_beta 90.07
_cell_angle_gamma 90.00
loop_
_symmetry_equiv_pos_as_xyz
'x,y,z'
'-x,-y,-z'
'-x,y,-z'
'x,-y,z'
loop_
_atom_site_label
_atom_site_type_symbol
_atom_site_fract_x
_atom_site_fract_y
_atom_site_fract_z
Ni1 Ni 0.001 0.000 0.229
Ir1 Ir 0.500 0.500 0.000
Cl1 Cl 0.000 0.500 0.500

Record 4
# NiIrCl2 (PBE, optimized geometry)
# * density of states at the Fermi level: 25.88 states/eV/cell
# * electronic total energy: -14.07 eV/f.u.
# * total magnetization: 11.1 μB/cell
# * uncorrected formation energy: 1.0671 eV per atom
# * polymorph energy (0 for the lowest one): 0.9878 eV per atom
# * calculated volume: 259.6 Å³ per cell
data_NiIrCl2
_chemical_formula_sum 'Ni4 Ir4 Cl8'
_symmetry_space_group_name_H-M 'F -4 3 m'
_symmetry_Int_Tables_number 216
_symmetry_space_group_name_Hall 'F -4 2 3'
_cell_length_a 6.379
_cell_length_b 6.379
_cell_length_c 6.379
_cell_angle_alpha 90.00
_cell_angle_beta 90.00
_cell_angle_gamma 90.00
loop_
_atom_site_label
_atom_site_type_symbol
_atom_site_fract_x
_atom_site_fract_y
_atom_site_fract_z
Ni1 Ni 0.000 0.000 0.000
Ir1 Ir 0.250 0.250 0.750
Cl1 Cl 0.000 0.000 0.500
Cl2 Cl 0.250 0.250 0.250